The following is a DFT calculation (PBE) of a relaxed structure of CaAcTbZn.

abc: 3.6973 3.6973 9.4738
angles: 90.00 90.00 90.00
Closest atoms and distances in Å follow each position.
Sites, in units of the cell vectors:
Ca 0.0000 0.0000 0.0000  4 Zn 3.25, 1 Tb 3.57
Ac 0.5000 0.5000 0.3343  4 Ac 3.70, 4 Tb 3.79, 4 Ca 4.11
Tb 0.0000 0.0000 0.6236  4 Zn 3.09
Zn 0.5000 0.5000 0.7971  4 Tb 3.09, 4 Ca 3.25

Computed properties:
- Formation energy from the elements: -0.113 eV/atom
- SG: P4mm, No. 99

The following is a DFT calculation (PBE) of a relaxed structure of CaAc2Te3.

abc: 4.3405 5.6676 17.9706
angles: 90.00 90.00 90.00
Closest atoms and distances in Å follow each position.
Sites, in units of the cell vectors:
Ca 0.0000 0.0000 0.0000  4 Te 2.83-3.09
Ca 0.5000 0.5000 0.5000  4 Te 2.83-3.09
Ac 0.0000 0.0000 0.3572  7 Te 3.33-3.61
Ac 0.0000 0.0000 0.6428  7 Te 3.33-3.61
Ac 0.5000 0.5000 0.1428  7 Te 3.33-3.61
Ac 0.5000 0.5000 0.8572  7 Te 3.33-3.61
Te 0.0000 0.0000 0.1722  1 Ca 3.09, 1 Ac 3.33
Te 0.0000 0.0000 0.8278  1 Ca 3.09, 1 Ac 3.33
Te 0.0000 0.5000 0.0000  2 Ca 2.83
Te 0.5000 0.0000 0.5000  2 Ca 2.83
Te 0.5000 0.5000 0.3278  1 Ca 3.09, 1 Ac 3.33
Te 0.5000 0.5000 0.6722  1 Ca 3.09, 1 Ac 3.33

Computed properties:
- Raw formation energy: -1.314 eV/atom
- Energy relative to the lowest polymorph listed for this composition: 172 meV per atom
- SG: Immm, No. 71

The following is a DFT calculation (PBE) of a relaxed structure of CaAc2Te4.

abc: 8.5796 8.5796 8.5796
angles: 109.98 109.98 108.45
Closest atoms and distances in Å follow each position.
Sites, in units of the cell vectors:
Ca 0.0000 0.0000 0.0000  8 Te 3.26-3.57
Ca 0.7500 0.2500 0.5000  8 Te 3.26-3.57
Ac 0.2498 0.6250 0.1248  8 Te 3.32-3.56
Ac 0.3750 0.4998 0.6248  8 Te 3.32-3.56
Ac 0.5002 0.1250 0.8752  8 Te 3.32-3.56
Ac 0.8750 0.7502 0.3752  8 Te 3.32-3.56
Te 0.1178 0.2251 0.7448  2 Ca 3.26-3.57, 4 Ac 3.32-3.56
Te 0.1230 0.7303 0.7552  2 Ca 3.26-3.57, 4 Ac 3.32-3.56
Te 0.2697 0.0249 0.3927  2 Ca 3.26-3.57, 4 Ac 3.32-3.56
Te 0.4803 0.3730 0.2552  2 Ca 3.26-3.57, 4 Ac 3.32-3.56
Te 0.6270 0.8822 0.1073  2 Ca 3.26-3.57, 4 Ac 3.32-3.56
Te 0.6322 0.8770 0.6073  2 Ca 3.26-3.57, 4 Ac 3.32-3.56
Te 0.7749 0.5197 0.8927  2 Ca 3.26-3.57, 4 Ac 3.32-3.56
Te 0.9751 0.3678 0.2448  2 Ca 3.26-3.57, 4 Ac 3.32-3.56

Computed properties:
- Raw formation energy: -1.609 eV/atom
- Energy relative to the lowest polymorph listed for this composition: 0 meV per atom
- SG: I-42d, No. 122

The following is a DFT calculation (PBE) of a relaxed structure of CaAc5Te6.

abc: 8.1532 8.1532 8.1252
angles: 99.63 99.63 120.13
Closest atoms and distances in Å follow each position.
Sites, in units of the cell vectors:
Ca 0.0000 0.0000 0.0000  6 Te 3.20-3.22
Ac 0.1724 0.8276 0.5000  6 Te 3.32-3.39
Ac 0.3342 0.6658 0.0000  6 Te 3.33-3.35
Ac 0.5000 0.5000 0.5000  6 Te 3.33-3.42
Ac 0.6658 0.3342 0.0000  6 Te 3.33-3.35
Ac 0.8276 0.1724 0.5000  6 Te 3.32-3.39
Te 0.0795 0.4006 0.2410  1 Ca 3.20, 5 Ac 3.32-3.39
Te 0.2379 0.2379 0.7531  1 Ca 3.22, 5 Ac 3.35-3.42
Te 0.4006 0.0795 0.2410  1 Ca 3.20, 5 Ac 3.32-3.39
Te 0.5994 0.9205 0.7590  1 Ca 3.20, 5 Ac 3.32-3.39
Te 0.7621 0.7621 0.2469  1 Ca 3.22, 5 Ac 3.35-3.42
Te 0.9205 0.5994 0.7590  1 Ca 3.20, 5 Ac 3.32-3.39

Computed properties:
- Raw formation energy: -1.506 eV/atom
- SG: C2/m, No. 12

The following is a DFT calculation (PBE) of a relaxed structure of CaAc2Te.

abc: 4.1805 4.1805 36.3236
angles: 90.00 90.00 120.00
Closest atoms and distances in Å follow each position.
Sites, in units of the cell vectors:
Ca 0.0000 0.0000 0.0000  2 Ac 3.81, 6 Ca 4.18
Ca 0.3333 0.6667 0.6667  2 Ac 3.81, 6 Ca 4.18
Ca 0.6667 0.3333 0.3333  2 Ac 3.81, 6 Ca 4.18
Ac 0.0000 0.0000 0.1050  3 Te 3.29
Ac 0.0000 0.0000 0.8950  3 Te 3.29
Ac 0.3333 0.6667 0.5616  3 Te 3.29
Ac 0.3333 0.6667 0.7717  3 Te 3.29
Ac 0.6667 0.3333 0.2283  3 Te 3.29
Ac 0.6667 0.3333 0.4384  3 Te 3.29
Te 0.0000 0.0000 0.5000  6 Ac 3.29
Te 0.3333 0.6667 0.1667  6 Ac 3.29
Te 0.6667 0.3333 0.8333  6 Ac 3.29

Computed properties:
- Raw formation energy: -0.402 eV/atom
- SG: R-3m, No. 166

The following is a DFT calculation (PBE) of a relaxed structure of Ca5AcTe6.

abc: 7.8964 7.8964 7.9000
angles: 99.62 99.62 119.99
Closest atoms and distances in Å follow each position.
Sites, in units of the cell vectors:
Ca 0.0000 0.0000 0.0000  6 Te 3.15-3.23
Ca 0.1674 0.8326 0.5000  6 Te 3.21-3.22
Ca 0.3359 0.6641 0.0000  6 Te 3.17-3.23
Ca 0.6641 0.3359 0.0000  6 Te 3.17-3.23
Ca 0.8326 0.1674 0.5000  6 Te 3.21-3.22
Ac 0.5000 0.5000 0.5000  6 Te 3.30
Te 0.0725 0.4146 0.2444  5 Ca 3.17-3.23, 1 Ac 3.30
Te 0.2425 0.2425 0.7547  5 Ca 3.15-3.22, 1 Ac 3.30
Te 0.4146 0.0725 0.2444  5 Ca 3.17-3.23, 1 Ac 3.30
Te 0.5854 0.9275 0.7556  5 Ca 3.17-3.23, 1 Ac 3.30
Te 0.7575 0.7575 0.2453  5 Ca 3.15-3.22, 1 Ac 3.30
Te 0.9275 0.5854 0.7556  5 Ca 3.17-3.23, 1 Ac 3.30

Computed properties:
- Raw formation energy: -1.603 eV/atom
- SG: C2/m, No. 12

The following is a DFT calculation (PBE) of a relaxed structure of Ca4AcTe5.

abc: 16.4777 16.4777 16.4777
angles: 164.00 164.00 22.70
Closest atoms and distances in Å follow each position.
Sites, in units of the cell vectors:
Ca 0.1017 0.1017 0.0000  6 Te 3.18-3.29
Ca 0.2985 0.2985 0.0000  6 Te 3.18-3.24
Ca 0.7015 0.7015 0.0000  6 Te 3.18-3.24
Ca 0.8983 0.8983 0.0000  6 Te 3.18-3.29
Ac 0.5000 0.5000 0.0000  6 Te 3.24-3.33
Te 0.0000 0.0000 0.0000  4 Ac 3.24, 2 Ca 3.29
Te 0.2002 0.2002 0.0000  6 Ca 3.18-3.24
Te 0.3968 0.3968 0.0000  5 Ca 3.18-3.24, 1 Ac 3.33
Te 0.6032 0.6032 0.0000  5 Ca 3.18-3.24, 1 Ac 3.33
Te 0.7998 0.7998 0.0000  6 Ca 3.18-3.24

Computed properties:
- Raw formation energy: -1.598 eV/atom
- SG: I4/mmm, No. 139

The following is a DFT calculation (PBE) of a relaxed structure of CaAc3Te4.

abc: 9.4366 13.2472 4.6556
angles: 90.00 90.00 90.00
Closest atoms and distances in Å follow each position.
Sites, in units of the cell vectors:
Ca 0.0000 0.0000 0.0000  6 Te 3.21-3.23
Ca 0.5000 0.5000 0.0000  6 Te 3.21-3.23
Ac 0.0000 0.5000 0.0000  6 Te 3.40-3.41
Ac 0.2500 0.2500 0.5000  6 Te 3.31-3.32
Ac 0.2500 0.7500 0.5000  6 Te 3.31-3.32
Ac 0.5000 0.0000 0.0000  6 Te 3.40-3.41
Ac 0.7500 0.2500 0.5000  6 Te 3.31-3.32
Ac 0.7500 0.7500 0.5000  6 Te 3.31-3.32
Te 0.0000 0.2426 0.0000  1 Ca 3.21, 5 Ac 3.32-3.41
Te 0.0000 0.7574 0.0000  1 Ca 3.21, 5 Ac 3.32-3.41
Te 0.2374 0.0000 0.5000  2 Ca 3.23, 4 Ac 3.31-3.40
Te 0.2626 0.5000 0.5000  2 Ca 3.23, 4 Ac 3.31-3.40
Te 0.5000 0.2574 0.0000  1 Ca 3.21, 5 Ac 3.32-3.41
Te 0.5000 0.7426 0.0000  1 Ca 3.21, 5 Ac 3.32-3.41
Te 0.7374 0.5000 0.5000  2 Ca 3.23, 4 Ac 3.31-3.40
Te 0.7626 0.0000 0.5000  2 Ca 3.23, 4 Ac 3.31-3.40

Computed properties:
- Raw formation energy: -1.510 eV/atom
- Energy relative to the lowest polymorph listed for this composition: 0 meV per atom
- SG: Cmmm, No. 65

The following is a DFT calculation (PBE) of a relaxed structure of Ca2AcTe.

abc: 4.1563 4.1563 32.2156
angles: 90.00 90.00 120.00
Closest atoms and distances in Å follow each position.
Sites, in units of the cell vectors:
Ca 0.0000 0.0000 0.2287  3 Te 3.12
Ca 0.0000 0.0000 0.7713  3 Te 3.12
Ca 0.3333 0.6667 0.4380  3 Te 3.12
Ca 0.3333 0.6667 0.8954  3 Te 3.12
Ca 0.6667 0.3333 0.1046  3 Te 3.12
Ca 0.6667 0.3333 0.5620  3 Te 3.12
Ac 0.0000 0.0000 0.0000  6 Ca 4.14, 6 Ac 4.16
Ac 0.3333 0.6667 0.6667  6 Ca 4.14, 6 Ac 4.16
Ac 0.6667 0.3333 0.3333  6 Ca 4.14, 6 Ac 4.16
Te 0.0000 0.0000 0.5000  6 Ca 3.12
Te 0.3333 0.6667 0.1667  6 Ca 3.12
Te 0.6667 0.3333 0.8333  6 Ca 3.12

Computed properties:
- Raw formation energy: -0.650 eV/atom
- SG: R-3m, No. 166

The following is a DFT calculation (PBE) of a relaxed structure of CaAc3Te4.

abc: 4.5895 4.5895 32.0819
angles: 90.00 90.00 120.00
Closest atoms and distances in Å follow each position.
Sites, in units of the cell vectors:
Ca 0.3333 0.6667 0.2500  6 Te 3.26
Ca 0.6667 0.3333 0.7500  6 Te 3.26
Ac 0.0000 0.0000 0.0000  6 Te 3.34
Ac 0.0000 0.0000 0.5000  6 Te 3.34
Ac 0.3333 0.6667 0.6257  6 Te 3.32-3.37
Ac 0.3333 0.6667 0.8743  6 Te 3.32-3.37
Ac 0.6667 0.3333 0.1257  6 Te 3.32-3.37
Ac 0.6667 0.3333 0.3743  6 Te 3.32-3.37
Te 0.0000 0.0000 0.1906  3 Ca 3.26, 3 Ac 3.37
Te 0.0000 0.0000 0.3094  3 Ca 3.26, 3 Ac 3.37
Te 0.0000 0.0000 0.6906  3 Ca 3.26, 3 Ac 3.37
Te 0.0000 0.0000 0.8094  3 Ca 3.26, 3 Ac 3.37
Te 0.3333 0.6667 0.0633  6 Ac 3.32-3.34
Te 0.3333 0.6667 0.4367  6 Ac 3.32-3.34
Te 0.6667 0.3333 0.5633  6 Ac 3.32-3.34
Te 0.6667 0.3333 0.9367  6 Ac 3.32-3.34

Computed properties:
- Raw formation energy: -1.485 eV/atom
- Energy relative to the lowest polymorph listed for this composition: 25 meV per atom
- SG: P6_3/mmc, No. 194

The following is a DFT calculation (PBE) of a relaxed structure of Ca2AcTe.

abc: 3.9554 3.9554 9.4124
angles: 90.00 90.00 90.00
Closest atoms and distances in Å follow each position.
Sites, in units of the cell vectors:
Ca 0.0000 0.0000 0.1922  4 Te 3.33, 1 Ca 3.62
Ca 0.0000 0.0000 0.8078  4 Te 3.33, 1 Ca 3.62
Ac 0.5000 0.5000 0.5000  4 Ac 3.96, 8 Ca 4.03
Te 0.5000 0.5000 0.0000  8 Ca 3.33

Computed properties:
- Raw formation energy: -0.649 eV/atom
- SG: P4/mmm, No. 123

The following is a DFT calculation (PBE) of a relaxed structure of CaAc2Te3.

abc: 4.5609 4.5609 24.1380
angles: 90.00 90.00 120.00
Closest atoms and distances in Å follow each position.
Sites, in units of the cell vectors:
Ca 0.0000 0.0000 0.2500  6 Te 3.26
Ca 0.0000 0.0000 0.7500  6 Te 3.26
Ac 0.3333 0.6667 0.0834  6 Te 3.32-3.37
Ac 0.3333 0.6667 0.4166  6 Te 3.32-3.37
Ac 0.6667 0.3333 0.5834  6 Te 3.32-3.37
Ac 0.6667 0.3333 0.9166  6 Te 3.32-3.37
Te 0.0000 0.0000 0.0000  6 Ac 3.32
Te 0.0000 0.0000 0.5000  6 Ac 3.32
Te 0.3333 0.6667 0.6707  3 Ca 3.26, 3 Ac 3.37
Te 0.3333 0.6667 0.8293  3 Ca 3.26, 3 Ac 3.37
Te 0.6667 0.3333 0.1707  3 Ca 3.26, 3 Ac 3.37
Te 0.6667 0.3333 0.3293  3 Ca 3.26, 3 Ac 3.37

Computed properties:
- Raw formation energy: -1.487 eV/atom
- Energy relative to the lowest polymorph listed for this composition: 0 meV per atom
- SG: P6_3/mmc, No. 194